4
Lattice="-2.705 1.015 4.500 -3.092 -3.784 2.172 1.459 -2.341 4.582" Properties=species:S:1:pos:R:3 comment="ZrTe2Pb, relaxed, DFT PBE" n_ef_per_ev_cell=5.42 e_form_raw_mev_per_atom=176.6 total_energy_ev_per_cell=-17.8 magmom_total_mub_per_fu=0.00 pbc="T T T"
Pb -2.169 -2.555 5.627
Te 0.000 0.000 0.000
Zr -3.254 -3.833 8.441
Te -1.085 -1.278 2.814